DFT (PBE) results for an optimized crystal structure of CrInRe2.

Calculated values
Density ... 14.2 Mg/m³
Electronic total energy ... -35.41 eV/cell
Calculated formation energy ... 1.85 eV per formula unit

Unit cell a=2.7662 b=2.7662 c=8.9995 alpha=90.00 beta=90.00 gamma=113.78
Closest atoms and distances in Å follow each position.
Element x y z (fractional)
1 Cr 0.5000 0.5000 0.2500  4 Re 2.51, 4 Cr 2.77
2 In 0.5000 0.5000 0.7500  6 In 2.77-3.02, 4 Re 2.92
3 Re 0.0000 0.0000 0.0272  2 Cr 2.51, 4 Re 2.77
4 Re 0.0000 0.0000 0.4728  2 Cr 2.51, 4 Re 2.77